First-principles (GGA-PBE) data for crystalline PrGa2Au2 at its relaxed geometry, as listed in the Alexandria database.

Results
DOS at the Fermi energy, states/eV per cell: 2.25
Total magnetic moment, μB/f.u.: 0.00
Electronic total energy, hartree per atom: -0.151
Formation energy from the elements, meV per atom: -634.5

Cell: 6.0553 6.0553 6.0553 Å, 136.28 136.28 63.55°
Fractional positions:
Pr (0.0000, 0.0000, 0.0000)
Ga (0.3805, 0.3805, 0.0000)
Ga (0.6195, 0.6195, 0.0000)
Au (0.2500, 0.7500, 0.5000)
Au (0.7500, 0.2500, 0.5000)